Ho3Er2Tl7 | GGA-PBE | optimized geometry

Values from the calculation:
Calculated formation energy ... -66 meV/atom
Crystal system ... orthorhombic
Space-group type ... Cmmm, No. 65
Total DFT energy (no corrections) ... -3.351 eV per atom

POSCAR file:
```
Ho3Er2Tl7
1.0
5.3595 0.0000 0.0000
0.0000 5.2464 0.0000
0.0000 -2.6232 12.8331
Ho Er Tl
3 2 7
direct
0.5000 0.5000 0.0000
0.5000 0.6520 0.3040
0.5000 0.3480 0.6960
0.0000 0.8470 0.6941
0.0000 0.1530 0.3059
0.0000 0.4238 0.8477
0.0000 0.7204 0.4408
0.0000 0.0000 0.0000
0.0000 0.5762 0.1523
0.5000 0.0820 0.1640
0.5000 0.9180 0.8360
0.0000 0.2796 0.5592
```



K2HoSbSe4 | GGA-PBE | optimized geometry

Values from the calculation:
Crystal system ... monoclinic
Space-group type ... P2/m, No. 10
Total DFT energy (no corrections) ... -4.334 eV per atom
Formation energy from raw total energies ... -1.23 eV per atom

POSCAR file:
```
K2HoSbSe4
1.0
4.2146 0.0000 0.0000
0.0000 7.3520 0.1445
0.0000 -2.5640 7.6230
K Ho Sb Se
2 1 1 4
direct
0.5000 0.0000 0.5000
0.0000 0.5000 0.5000
0.5000 0.5000 0.0000
0.0000 0.0000 0.0000
0.5000 0.2388 0.2054
0.5000 0.7612 0.7946
0.0000 0.2680 0.7963
0.0000 0.7320 0.2037
```



TmCu2B2O6 | GGA-PBE | optimized geometry

Values from the calculation:
Crystal system ... trigonal
Space-group type ... P-3, No. 147
Total DFT energy (no corrections) ... -7.095 eV per atom
Formation energy from raw total energies ... -2.03 eV per atom

POSCAR file:
```
TmCu2B2O6
1.0
-2.8311 3.7325 -1.9598
2.2792 -3.3392 -3.0730
-4.8974 -3.5796 0.2573
Tm Cu B O
1 2 2 6
direct
0.0000 0.0000 0.0000
0.3333 0.6667 0.2661
0.6667 0.3333 0.7339
0.3333 0.6667 0.7742
0.6667 0.3333 0.2258
0.3135 0.3846 0.7780
0.0711 0.6865 0.7780
0.6154 0.9289 0.7780
0.6865 0.6154 0.2220
0.9289 0.3135 0.2220
0.3846 0.0711 0.2220
```



AsPbSeBr2 | GGA-PBE | optimized geometry

Values from the calculation:
Crystal system ... tetragonal
Space-group type ... P4/mmm, No. 123
Energy relative to the lowest polymorph listed for this composition ... 313 meV/atom
Total DFT energy (no corrections) ... -2.809 eV per atom
Formation energy from raw total energies ... 0.23 eV per atom

POSCAR file:
```
AsPbSeBr2
1.0
5.3068 0.0000 0.0000
0.0000 5.3068 0.0000
0.0000 0.0000 5.2905
Pb As Se Br
1 1 1 2
direct
0.5000 0.5000 0.5000
0.0000 0.0000 0.5000
0.0000 0.0000 0.0000
0.0000 0.5000 0.0000
0.5000 0.0000 0.0000
```



AcPr6Er2Tm | GGA-PBE | optimized geometry

Values from the calculation:
Calculated formation energy ... 119 meV/atom
Crystal system ... monoclinic
Space-group type ... C2/c, No. 15
Total DFT energy (no corrections) ... -4.520 eV per atom

POSCAR file:
```
AcPr6Er2Tm
1.0
-7.4970 -3.4778 5.1762
5.7295 -6.2981 3.1835
-0.1424 8.0111 4.2930
Ac Pr Er Tm
2 12 4 2
direct
0.2500 0.9711 0.0289
0.7500 0.0289 0.9711
0.0536 0.1216 0.7589
0.4464 0.2411 0.8784
0.9464 0.8784 0.2411
0.5536 0.7589 0.1216
0.3143 0.9982 0.4470
0.1857 0.5530 0.0018
0.6857 0.0018 0.5530
0.8143 0.4470 0.9982
0.1166 0.7092 0.4873
0.3834 0.5127 0.2908
0.8834 0.2908 0.5127
0.6166 0.4873 0.7092
0.4513 0.7926 0.6865
0.0487 0.3135 0.2074
0.5487 0.2074 0.3135
0.9513 0.6865 0.7926
0.2500 0.4144 0.5856
0.7500 0.5856 0.4144
```



ReCl | GGA-PBE | optimized geometry

Values from the calculation:
Crystal system ... cubic
Space-group type ... Pm-3m, No. 221
Energy relative to the lowest polymorph listed for this composition ... 1822 meV/atom
Total DFT energy (no corrections) ... -5.437 eV per atom
Formation energy from raw total energies ... 1.71 eV per atom

POSCAR file:
```
ReCl
1.0
3.0811 0.0000 0.0000
0.0000 3.0811 0.0000
0.0000 0.0000 3.0811
Cl Re
1 1
direct
0.0000 0.0000 0.0000
0.5000 0.5000 0.5000
```



Pm3HgRh | GGA-PBE | optimized geometry

Values from the calculation:
Calculated formation energy ... -257 meV/atom
Crystal system ... cubic
Space-group type ... Pm-3m, No. 221
Energy relative to the lowest polymorph listed for this composition ... 252 meV/atom
Total DFT energy (no corrections) ... -4.638 eV per atom

POSCAR file:
```
Pm3HgRh
1.0
-3.6321 -4.0267 0.5730
3.9749 -3.6770 -0.6437
0.8617 -0.0110 5.3844
Rh Hg Pm
1 1 3
direct
0.0000 0.0000 0.0000
0.5000 0.5000 0.5000
0.0000 0.5000 0.0000
0.0000 0.0000 0.5000
0.5000 0.0000 0.0000
```



Nd5Ho3Er2 | GGA-PBE | optimized geometry

Values from the calculation:
Calculated formation energy ... 376 meV/atom
Crystal system ... orthorhombic
Space-group type ... Ibam, No. 72
Energy relative to the lowest polymorph listed for this composition ... 197 meV/atom
Total DFT energy (no corrections) ... -4.294 eV per atom

POSCAR file:
```
Nd5Ho3Er2
1.0
-5.4433 7.0588 -6.3877
-8.3001 4.6882 2.8404
-0.4424 9.7782 1.7692
Nd Ho Er
10 6 4
direct
0.2500 0.5000 0.5000
0.7500 0.5000 0.5000
0.4963 0.7537 0.7537
0.0037 0.2463 0.2463
0.5037 0.2463 0.2463
0.9963 0.7537 0.7537
0.1303 0.4753 0.2641
0.8697 0.5247 0.7359
0.6303 0.2641 0.4753
0.3697 0.7359 0.5247
0.2500 0.0000 0.0000
0.7500 0.0000 0.0000
0.3773 0.3748 0.8706
0.6227 0.6252 0.1294
0.8773 0.8706 0.3748
0.1227 0.1294 0.6252
0.1190 0.7963 0.9657
0.8810 0.2037 0.0343
0.6190 0.9657 0.7963
0.3810 0.0343 0.2037
```



Question: Which of these has the highest total DFT energy (no corrections)?
Answer: AsPbSeBr2